Record 1
First-principles (GGA-PBE) data for Y2MgCr after structural relaxation, as listed in the Alexandria database.

Calculated values
DFT total energy = -0.4343 Ry/atom
space group = Pmmm
formation enthalpy at 0 K = 0.51 eV per formula unit
DOS(E_F) = 3.64 states/eV/f.u.

abc: 3.600 3.647 7.742
angles: 90.00 90.00 90.00
Element x y z (fractional)
Y: 0.000 0.000 0.223
Y: 0.000 0.000 0.777
Mg: 0.500 0.500 0.500
Cr: 0.500 0.500 0.000



Record 2
First-principles (GGA-PBE) data for Y2MgCr after structural relaxation, as listed in the Alexandria database.

Calculated values
DFT total energy = -0.4230 Ry/atom
space group = I-4m2
formation enthalpy at 0 K = 1.12 eV per formula unit
DOS(E_F) = 3.42 states/eV/f.u.

abc: 4.632 4.632 9.406
angles: 90.00 90.00 90.00
Element x y z (fractional)
Y: 0.000 0.000 0.000
Y: 0.000 0.500 0.250
Y: 0.500 0.000 0.750
Y: 0.500 0.500 0.500
Mg: 0.000 0.000 0.500
Mg: 0.500 0.500 0.000
Cr: 0.000 0.500 0.750
Cr: 0.500 0.000 0.250



Record 3
First-principles (GGA-PBE) data for Y2MgCr after structural relaxation, as listed in the Alexandria database.

Calculated values
DFT total energy = -0.4260 Ry/atom
space group = Pm
formation enthalpy at 0 K = 0.96 eV per formula unit
DOS(E_F) = 4.72 states/eV/f.u.

abc: 3.455 4.973 6.250
angles: 90.00 105.89 90.00
Element x y z (fractional)
Y: 0.000 0.000 0.000
Y: 0.322 0.500 0.646
Mg: 0.724 0.000 0.451
Cr: 0.593 0.500 0.184



Record 4
First-principles (GGA-PBE) data for YMgCr2 after structural relaxation, as listed in the Alexandria database.

Calculated values
DFT total energy = -0.4500 Ry/atom
space group = P2/m
formation enthalpy at 0 K = 2.81 eV per formula unit
DOS(E_F) = 4.11 states/eV/f.u.

abc: 3.240 4.803 5.613
angles: 90.00 90.07 90.00
Element x y z (fractional)
Y: 0.000 0.000 0.000
Mg: 0.500 0.000 0.500
Cr: 0.500 0.500 0.165
Cr: 0.500 0.500 0.835



Record 5
First-principles (GGA-PBE) data for YMgCr3 after structural relaxation, as listed in the Alexandria database.

Calculated values
DFT total energy = -0.4139 Ry/atom
space group = Pm-3m
ΔE to the lowest computed polymorph = 0.467 eV/atom
formation enthalpy at 0 K = 8.77 eV per formula unit
DOS(E_F) = 1.29 states/eV/f.u.

abc: 4.991 4.991 4.991
angles: 90.00 90.00 90.00
Element x y z (fractional)
Y: 0.000 0.000 0.000
Mg: 0.500 0.500 0.500
Cr: 0.000 0.000 0.500
Cr: 0.000 0.500 0.000
Cr: 0.500 0.000 0.000



Record 6
First-principles (GGA-PBE) data for Mg2ZnCr after structural relaxation, as listed in the Alexandria database.

Calculated values
DFT total energy = -0.2440 Ry/atom
space group = P4/mmm
formation enthalpy at 0 K = 0.81 eV per formula unit
DOS(E_F) = 2.36 states/eV/f.u.

abc: 4.169 4.169 4.142
angles: 90.00 90.00 90.00
Element x y z (fractional)
Mg: 0.000 0.500 0.000
Mg: 0.500 0.000 0.000
Zn: 0.000 0.000 0.500
Cr: 0.500 0.500 0.500



Record 7
First-principles (GGA-PBE) data for MgZnCr2 after structural relaxation, as listed in the Alexandria database.

Calculated values
DFT total energy = -0.3861 Ry/atom
space group = F-43m
formation enthalpy at 0 K = 1.10 eV per formula unit
DOS(E_F) = 3.49 states/eV/f.u.

abc: 6.270 6.270 6.270
angles: 90.00 90.00 90.00
Element x y z (fractional)
Mg: 0.000 0.000 0.000
Mg: 0.000 0.500 0.500
Mg: 0.500 0.000 0.500
Mg: 0.500 0.500 0.000
Zn: 0.250 0.250 0.250
Zn: 0.250 0.750 0.750
Zn: 0.750 0.250 0.750
Zn: 0.750 0.750 0.250
Cr: 0.000 0.000 0.500
Cr: 0.000 0.500 0.000
Cr: 0.250 0.250 0.750
Cr: 0.250 0.750 0.250
Cr: 0.500 0.000 0.000
Cr: 0.500 0.500 0.500
Cr: 0.750 0.250 0.250
Cr: 0.750 0.750 0.750



Record 8
First-principles (GGA-PBE) data for MgZnCr after structural relaxation, as listed in the Alexandria database.

Calculated values
DFT total energy = -0.2875 Ry/atom
space group = Cm
ΔE to the lowest computed polymorph = 0.000 eV/atom
formation enthalpy at 0 K = 0.76 eV per formula unit
DOS(E_F) = 1.19 states/eV/f.u.

abc: 10.809 3.128 3.128
angles: 90.00 106.74 90.00
Element x y z (fractional)
Mg: 0.000 0.000 0.000
Mg: 0.500 0.500 0.000
Zn: 0.176 0.500 0.677
Zn: 0.676 0.000 0.677
Cr: 0.316 0.000 0.316
Cr: 0.816 0.500 0.316



Look up the DOS(E_F) of the fourth one.
4.11 states/eV/f.u.